Entry 1:
{"formula": "LiAcScIn", "functional": "PBE", "state": "optimized geometry", "lattice": [[5.3311, 0.0000, 0.0000], [2.6655, 4.6168, 0.0000], [2.6655, 1.5389, 4.3528]], "species": ["Sc", "Ac", "Li", "In"], "fractional_positions": [[0.0000, 0.0000, 0.0000], [0.7500, 0.7500, 0.7500], [0.5000, 0.5000, 0.5000], [0.2500, 0.2500, 0.2500]], "sg": "F-43m", "formation_enthalpy_0k_kj_per_mol_atoms": -1.1}

Entry 2:
{"formula": "Ag3OsO", "functional": "PBE", "state": "optimized geometry", "lattice": [[-4.9948, -0.1916, -1.2178], [0.3524, -5.0920, -0.6441], [-1.1814, -0.7087, 4.9568]], "species": ["Os", "O", "Ag", "Ag", "Ag"], "fractional_positions": [[0.0000, 0.0000, 0.0000], [0.5000, 0.5000, 0.5000], [0.0000, 0.5000, 0.0000], [0.0000, 0.0000, 0.5000], [0.5000, 0.0000, 0.0000]], "relative_energy_mev_per_atom": 904, "sg": "Pm-3m", "formation_energy_uncorrected_mev_per_atom": 1915.8}

Entry 3:
{"formula": "Ti4Tc2W", "functional": "PBE", "state": "optimized geometry", "lattice": [[-2.0415, 4.2140, -0.0696], [-0.7620, -0.4451, -4.5991], [-6.8653, -0.7433, -1.1748]], "species": ["Tc", "Tc", "W", "Ti", "Ti", "Ti", "Ti"], "fractional_positions": [[0.3794, 0.3794, 0.2413], [0.6206, 0.6206, 0.7587], [0.0000, 0.0000, 0.0000], [0.2026, 0.2026, 0.5947], [0.7974, 0.7974, 0.4053], [0.0000, 0.5000, 0.0000], [0.5000, 0.0000, 0.0000]], "sg": "I4/mmm", "formation_enthalpy_0k_kj_per_mol_atoms": 78.9}

Entry 4:
{"formula": "AlTl3Re", "functional": "PBE", "state": "optimized geometry", "lattice": [[5.3454, 0.0000, 0.0000], [0.0000, 5.3454, 0.0000], [0.0000, 0.0000, 5.3454]], "species": ["Re", "Tl", "Tl", "Tl", "Al"], "fractional_positions": [[0.0000, 0.0000, 0.0000], [0.0000, 0.5000, 0.0000], [0.0000, 0.0000, 0.5000], [0.5000, 0.0000, 0.0000], [0.5000, 0.5000, 0.5000]], "relative_energy_mev_per_atom": 0, "sg": "Pm-3m", "formation_enthalpy_0k_kj_per_mol_atoms": 79.7}

Entry 5:
{"formula": "CdGa3Ag4", "functional": "PBE", "state": "optimized geometry", "lattice": [[6.1945, -0.2040, -0.8667], [-3.2281, 5.2908, 0.8667], [-3.3944, -1.4289, 5.0597]], "species": ["Cd", "Ga", "Ga", "Ga", "Ag", "Ag", "Ag", "Ag"], "fractional_positions": [[0.3352, 0.5000, 0.8352], [0.5766, 0.2382, 0.8148], [0.8382, 0.0000, 0.8382], [0.5766, 0.7618, 0.3384], [0.0763, 0.7560, 0.8323], [0.0763, 0.2440, 0.3203], [0.5873, 0.2514, 0.3359], [0.0845, 0.7486, 0.3359]], "relative_energy_mev_per_atom": 48, "sg": "Imm2", "formation_enthalpy_0k_kj_per_mol_atoms": 5.2}

Entry 6:
{"formula": "ScInNiRu", "functional": "PBE", "state": "optimized geometry", "lattice": [[-2.7032, -0.9445, -1.7831], [-1.9667, -1.1921, 3.6130], [-1.7084, 4.0948, 0.4211]], "species": ["Sc", "In", "Ni", "Ru"], "fractional_positions": [[0.5000, 0.5000, 0.0000], [0.5000, 0.0000, 0.5000], [0.0000, 0.5000, 0.5000], [0.0000, 0.0000, 0.0000]], "relative_energy_mev_per_atom": 0, "sg": "Pmmm", "formation_enthalpy_0k_kj_per_mol_atoms": -39.5}

So what do the calculations give for volume? Going down the list: 26.78 27.23 19.34 30.55 18.90 16.10 A^3/atom.